Entry 1:
DFT (PBE) results for a geometry-optimized Ba2GePd6Au structure.

```
Ba2GePd6Au
1.0
-5.198 -2.470 -3.531
3.995 -6.008 -0.163
-0.763 -6.620 2.775
Ba Ge Pd Au
2 1 6 1
direct
0.775 0.234 0.459
0.225 0.766 0.541
0.000 0.000 0.000
0.244 0.268 0.516
0.602 0.751 0.151
0.245 0.761 0.024
0.755 0.239 0.976
0.398 0.249 0.849
0.756 0.732 0.484
0.500 0.500 0.000
```

## Properties
space group = P-1, No. 2
crystal system = triclinic



Entry 2:
DFT (PBE) results for a geometry-optimized BaGe8Pd2Au structure.

```
BaGe8Pd2Au
1.0
-2.685 3.634 3.761
0.071 -1.157 5.763
6.144 5.192 3.965
Ba Ge Pd Au
1 8 2 1
direct
0.500 0.500 0.500
0.114 0.114 0.659
0.557 0.370 0.148
0.886 0.886 0.341
0.925 0.557 0.148
0.075 0.443 0.852
0.370 0.925 0.148
0.630 0.075 0.852
0.443 0.630 0.852
0.218 0.218 0.345
0.782 0.782 0.655
0.000 0.000 0.000
```

## Properties
space group = R-3, No. 148
crystal system = trigonal



Entry 3:
DFT (PBE) results for a geometry-optimized BaGePd2Au structure.

```
BaGePd2Au
1.0
-3.610 2.696 -1.936
-2.995 -3.879 0.182
-1.460 1.343 4.594
Ge Au Ba Pd
1 1 1 2
direct
0.000 0.000 0.000
0.000 0.000 0.500
0.500 0.500 0.500
0.000 0.500 0.000
0.500 0.000 0.000
```

## Properties
space group = P4/mmm, No. 123
crystal system = tetragonal



Entry 4:
DFT (PBE) results for a geometry-optimized Ba2GePdAu6 structure.

```
Ba2GePdAu6
1.0
6.836 -0.003 0.007
-0.004 7.476 -0.476
3.420 3.406 4.823
Ba Ge Pd Au
2 1 1 6
direct
0.719 0.160 0.561
0.281 0.840 0.439
0.500 0.500 0.000
0.000 0.000 0.000
0.251 0.327 0.498
0.750 0.673 0.075
0.176 0.674 0.074
0.824 0.326 0.926
0.250 0.327 0.925
0.749 0.673 0.502
```

## Properties
space group = P-1, No. 2
crystal system = triclinic



Entry 5:
DFT (PBE) results for a geometry-optimized BaGePdAu2 structure.

```
BaGePdAu2
1.0
5.054 0.000 0.000
0.000 5.054 0.000
0.000 0.000 4.930
Ge Au Ba Pd
1 2 1 1
direct
0.000 0.000 0.000
0.000 0.500 0.000
0.500 0.000 0.000
0.500 0.500 0.500
0.000 0.000 0.500
```

## Properties
space group = P4/mmm, No. 123
crystal system = tetragonal



Entry 6:
DFT (PBE) results for a geometry-optimized Ba2Ge4Pd3Au structure.

```
Ba2Ge4Pd3Au
1.0
4.566 0.000 0.000
0.000 4.566 0.000
0.000 0.000 10.537
Ba Ge Pd Au
2 4 3 1
direct
0.500 0.000 0.245
0.000 0.500 0.755
0.500 0.500 0.000
0.000 0.000 0.000
0.500 0.000 0.626
0.000 0.500 0.374
0.000 0.000 0.500
0.500 0.000 0.879
0.000 0.500 0.121
0.500 0.500 0.500
```

## Properties
space group = P-4m2, No. 115
crystal system = tetragonal



Short version: total DFT energy (no corrections) = -48.17; -53.79; -22.31; -37.98; -20.46; -47.26 eV for the cell shown, in the order given.
Short version: total magnetic moment = 0.0; 0.0; 0.0; 0.0; 0.0; 0.0 μB per formula unit, in the order given.